Compound: Cd2HgCl
Source: the Alexandria database
Functional: PBEsol
Structure: relaxed

Computed properties:
**Energy above the most stable polymorph in this dataset**: 0.01 eV per formula unit
**Magnetization**: 0.00 μB/atom

Cell lengths 3.372, 5.409, 9.873 Å; angles 90.00, 90.00, 90.00 degrees
Space group Imm2 (No. 44)
One atom of each set of equivalent atoms:
Cd (0.000, 0.000, 0.000)
Cd (0.000, 0.500, 0.262)
Hg (0.000, 0.000, 0.511)
Cl (0.000, 0.500, 0.723)